Below is a geometry-optimized CeHo3Th structure, with properties calculated at the GGA-PBE level.

Unit cell a=6.0174 b=10.3399 c=11.3300 alpha=90.00 beta=99.55 gamma=90.00
Space group C2/m (No. 12)
One atom of each set of equivalent atoms:
Ce  0.0000  0.1635  0.0000 [4 per cell]
Ho  0.2423  0.5000  0.7503 [4 per cell]
Ho  0.2438  0.1660  0.7472 [8 per cell]
Th  0.0000  0.3356  0.5000 [4 per cell]

Properties
Energy of formation from the pure elements   220 kJ/mol of formula units
Energy relative to the lowest polymorph listed for this composition   0.392 eV/atom
Spin magnetization   1.59 μB/f.u.